No. 1
First-principles (GGA-PBE) data for RbCaMn2Cl after structural relaxation, as listed in Alexandria via LeMat-Bulk.

Computed properties:
The total magnetization comes out at 8.159 μB/cell. The crystal system is tetragonal. The uncorrected formation energy is 834 meV per atom. Its space-group type is P4/mmm (123).

Cell: 5.452 10.248 5.452 Å, 90.00 90.00 90.00°
Last column: magnetic moment on the atom in μB.
Fractional positions:
Mn 0.500 0.000 0.000  4.11
Mn 0.000 0.000 0.500  3.71
Ca 0.000 0.000 0.000  -0.15
Rb 0.000 0.500 0.000  0.00
Cl 0.500 0.500 0.500  0.00

***

No. 2
First-principles (GGA-PBE) data for CaMnSn2Cl8 after structural relaxation, as listed in Alexandria via LeMat-Bulk.

Computed properties:
The total magnetization comes out at 5.000 μB/cell. The crystal system is monoclinic. The uncorrected formation energy is -1343 meV per atom. Its space-group type is P2/m (10).

Cell: 6.597 6.351 8.227 Å, 90.00 90.00 89.72°
Last column: magnetic moment on the atom in μB.
Fractional positions:
Ca 0.000 0.000 0.500  0.00
Cl 0.670 0.734 0.500  0.01
Cl 0.158 0.785 0.234  0.03
Cl 0.695 0.756 0.000  0.02
Cl 0.305 0.244 0.000  0.02
Cl 0.330 0.266 0.500  0.01
Cl 0.842 0.215 0.766  0.03
Cl 0.158 0.785 0.766  0.03
Cl 0.842 0.215 0.234  0.03
Mn 0.000 0.000 0.000  4.42
Sn 0.500 0.500 0.760  0.02
Sn 0.500 0.500 0.240  0.02

***

no.,N(E_F) (states/eV per cell)
1,21.82
2,0.00